one | Here is a relaxed Nd3SmEr3 crystal from Alexandria. Energies are from PBE.

Density = 7.46 g/cm3
DOS(E_F) = 20.04 states/eV per cell
Total magnetization = 0.0 μB/f.u.

Unit cell a=8.912 b=8.912 c=8.912 alpha=58.45 beta=58.45 gamma=58.45
Sites, in units of the cell vectors:
Er  0.063  0.284  0.827
Sm  0.344  0.344  0.344
Er  0.716  0.173  0.937
Er  0.827  0.063  0.284
Er  0.937  0.716  0.173
Nd  0.928  0.282  0.434
Nd  0.434  0.928  0.282
Er  0.173  0.937  0.716
Sm  0.656  0.656  0.656
Nd  0.282  0.434  0.928
Nd  0.566  0.072  0.718
Er  0.284  0.827  0.063
Nd  0.072  0.718  0.566
Nd  0.718  0.566  0.072

***

two | Here is a relaxed Nd3SmEr3 crystal from Alexandria. Energies are from PBE.

Density = 7.73 g/cm3
DOS(E_F) = 24.68 states/eV per cell
Total magnetization = 0.0 μB/f.u.

Unit cell a=5.767 b=9.662 c=9.663 alpha=120.00 beta=90.00 gamma=90.00
Sites, in units of the cell vectors:
Nd  0.250  0.949  0.757
Sm  0.750  0.333  0.667
Er  0.250  0.384  0.904
Er  0.750  0.616  0.096
Nd  0.250  0.243  0.192
Er  0.750  0.905  0.521
Er  0.250  0.095  0.479
Er  0.250  0.521  0.616
Nd  0.750  0.051  0.243
Er  0.750  0.479  0.384
Nd  0.750  0.757  0.808
Sm  0.250  0.667  0.333
Nd  0.250  0.808  0.051
Nd  0.750  0.192  0.949

***

Quick one: most stable of them? two

***

one | Here is a relaxed Nd12Sm6Er crystal from Alexandria. Energies are from PBE.

Density = 6.89 g/cm3
DOS(E_F) = 31.81 states/eV per cell
Total magnetization = 0.0 μB/f.u.

Unit cell a=9.927 b=9.927 c=9.927 alpha=111.96 beta=111.96 gamma=111.96
Sites, in units of the cell vectors:
Nd  0.119  0.881  0.500
Nd  0.500  0.881  0.119
Nd  0.119  0.500  0.881
Er  0.000  0.000  0.000
Sm  0.271  0.520  0.271
Sm  0.729  0.480  0.729
Nd  0.728  0.728  0.089
Nd  0.272  0.272  0.911
Sm  0.480  0.729  0.729
Sm  0.520  0.271  0.271
Sm  0.271  0.271  0.520
Nd  0.272  0.911  0.272
Nd  0.881  0.119  0.500
Sm  0.729  0.729  0.480
Nd  0.500  0.119  0.881
Nd  0.728  0.089  0.728
Nd  0.089  0.728  0.728
Nd  0.911  0.272  0.272
Nd  0.881  0.500  0.119

***

two | Here is a relaxed Nd12Sm6Er crystal from Alexandria. Energies are from PBE.

Density = 6.97 g/cm3
DOS(E_F) = 30.76 states/eV per cell
Total magnetization = 0.0 μB/f.u.

Unit cell a=8.741 b=8.741 c=8.741 alpha=89.13 beta=89.13 gamma=89.13
Sites, in units of the cell vectors:
Sm  0.261  0.096  0.700
Nd  0.463  0.566  0.220
Sm  0.739  0.904  0.300
Nd  0.434  0.780  0.537
Nd  0.220  0.463  0.566
Nd  0.640  0.983  0.807
Nd  0.983  0.807  0.640
Nd  0.360  0.017  0.193
Nd  0.566  0.220  0.463
Sm  0.700  0.261  0.096
Nd  0.017  0.193  0.360
Er  0.000  0.000  0.000
Nd  0.193  0.360  0.017
Sm  0.096  0.700  0.261
Sm  0.904  0.300  0.739
Sm  0.300  0.739  0.904
Nd  0.780  0.537  0.434
Nd  0.807  0.640  0.983
Nd  0.537  0.434  0.780

***

Quick one: most stable of them? two

***

one | Here is a relaxed Nd5Sm2Er crystal from Alexandria. Energies are from PBE.

Density = 7.12 g/cm3
DOS(E_F) = 47.98 states/eV per cell
Total magnetization = 0.0 μB/f.u.

Unit cell a=10.217 b=12.087 c=8.984 alpha=87.67 beta=90.00 gamma=90.00
Sites, in units of the cell vectors:
Sm  0.000  0.705  0.285
Sm  0.500  0.705  0.785
Nd  0.175  0.234  0.049
Sm  0.500  0.295  0.215
Nd  0.840  0.584  0.647
Nd  0.162  0.585  0.647
Nd  0.750  0.999  0.750
Nd  0.340  0.416  0.853
Sm  0.500  0.853  0.093
Nd  0.324  0.767  0.451
Er  0.500  0.000  0.500
Sm  0.500  0.147  0.907
Sm  0.000  0.295  0.715
Nd  0.838  0.415  0.353
Er  0.000  0.000  0.000
Nd  0.250  0.001  0.750
Nd  0.675  0.766  0.451
Nd  0.750  0.999  0.250
Nd  0.660  0.584  0.147
Nd  0.338  0.585  0.147
Er  0.500  0.500  0.500
Nd  0.824  0.233  0.049
Nd  0.176  0.767  0.951
Nd  0.662  0.415  0.853
Nd  0.825  0.766  0.951
Nd  0.250  0.001  0.250
Nd  0.325  0.234  0.549
Er  0.000  0.500  0.000
Sm  0.000  0.147  0.407
Nd  0.676  0.233  0.549
Nd  0.160  0.416  0.353
Sm  0.000  0.853  0.593

***

two | Here is a relaxed Nd5Sm2Er crystal from Alexandria. Energies are from PBE.

Density = 7.20 g/cm3
DOS(E_F) = 24.25 states/eV per cell
Total magnetization = 0.0 μB/f.u.

Unit cell a=5.153 b=7.286 c=14.603 alpha=90.00 beta=90.00 gamma=90.00
Sites, in units of the cell vectors:
Sm  0.500  0.751  0.376
Sm  0.500  0.749  0.876
Nd  0.500  0.751  0.624
Nd  0.000  0.000  0.000
Er  0.000  0.500  0.000
Sm  0.500  0.251  0.124
Nd  0.000  0.000  0.252
Sm  0.500  0.249  0.624
Nd  0.000  0.000  0.748
Nd  0.000  0.500  0.500
Er  0.000  0.000  0.500
Nd  0.500  0.249  0.376
Nd  0.500  0.749  0.124
Nd  0.500  0.251  0.876
Nd  0.000  0.500  0.248
Nd  0.000  0.500  0.752

***

Quick one: most stable of them? two

***

one | Here is a relaxed NdSm6Er12 crystal from Alexandria. Energies are from PBE.

Density = 8.42 g/cm3
DOS(E_F) = 24.97 states/eV per cell
Total magnetization = 0.0 μB/f.u.

Unit cell a=8.703 b=9.396 c=9.396 alpha=69.08 beta=72.02 gamma=107.98
Sites, in units of the cell vectors:
Sm  0.946  0.315  0.476
Er  0.263  0.420  0.632
Sm  0.369  0.791  0.685
Er  0.737  0.580  0.368
Er  0.158  0.052  0.580
Er  0.526  0.842  0.263
Er  0.842  0.948  0.420
Er  0.789  0.263  0.895
Er  0.316  0.105  0.158
Er  0.211  0.737  0.105
Er  0.684  0.895  0.842
Nd  0.000  0.000  0.000
Sm  0.422  0.476  0.209
Sm  0.578  0.524  0.791
Er  0.105  0.368  0.052
Sm  0.054  0.685  0.524
Sm  0.631  0.209  0.315
Er  0.474  0.158  0.737
Er  0.895  0.632  0.948

***

two | Here is a relaxed NdSm6Er12 crystal from Alexandria. Energies are from PBE.

Density = 8.33 g/cm3
DOS(E_F) = 30.09 states/eV per cell
Total magnetization = 0.0 μB/f.u.

Unit cell a=8.599 b=8.599 c=8.599 alpha=79.82 beta=79.82 gamma=79.82
Sites, in units of the cell vectors:
Er  0.863  0.863  0.519
Er  0.197  0.516  0.516
Er  0.803  0.484  0.484
Sm  0.230  0.230  0.835
Er  0.516  0.197  0.516
Er  0.519  0.863  0.863
Er  0.137  0.137  0.481
Er  0.481  0.137  0.137
Er  0.137  0.481  0.137
Er  0.484  0.803  0.484
Sm  0.165  0.770  0.770
Sm  0.835  0.230  0.230
Sm  0.230  0.835  0.230
Er  0.863  0.519  0.863
Er  0.516  0.516  0.197
Nd  0.000  0.000  0.000
Er  0.484  0.484  0.803
Sm  0.770  0.165  0.770
Sm  0.770  0.770  0.165

***

Quick one: most stable of them? one

***

one | Here is a relaxed Nd4Sm5Er2 crystal from Alexandria. Energies are from PBE.

Density = 7.17 g/cm3
DOS(E_F) = 16.24 states/eV per cell
Total magnetization = 0.0 μB/f.u.

Unit cell a=3.524 b=9.411 c=12.651 alpha=111.84 beta=98.01 gamma=90.00
Sites, in units of the cell vectors:
Er  0.730  0.730  0.460
Nd  0.404  0.404  0.808
Sm  0.500  0.000  0.000
Sm  0.849  0.645  0.698
Nd  0.596  0.596  0.192
Sm  0.151  0.946  0.302
Sm  0.151  0.355  0.302
Er  0.270  0.270  0.540
Nd  0.000  0.704  0.000
Nd  0.000  0.296  0.000
Sm  0.849  0.054  0.698

***

two | Here is a relaxed Nd4Sm5Er2 crystal from Alexandria. Energies are from PBE.

Density = 7.30 g/cm3
DOS(E_F) = 16.97 states/eV per cell
Total magnetization = 0.0 μB/f.u.

Unit cell a=3.567 b=8.775 c=12.260 alpha=94.39 beta=98.36 gamma=90.00
Sites, in units of the cell vectors:
Er  0.587  0.697  0.175
Nd  0.960  0.654  0.920
Nd  0.040  0.346  0.080
Nd  0.274  0.174  0.549
Sm  0.816  0.525  0.632
Er  0.413  0.303  0.825
Sm  0.500  0.000  0.000
Sm  0.184  0.475  0.368
Sm  0.870  0.954  0.740
Nd  0.726  0.826  0.451
Sm  0.130  0.046  0.260

***

Quick one: most stable of them? two

***

one | Here is a relaxed Nd7Sm12Er crystal from Alexandria. Energies are from PBE.

Density = 6.45 g/cm3
DOS(E_F) = 27.78 states/eV per cell
Total magnetization = 0.0 μB/f.u.

Unit cell a=9.989 b=9.989 c=9.989 alpha=109.47 beta=109.47 gamma=109.47
Sites, in units of the cell vectors:
Sm  0.999  0.246  0.753
Nd  0.500  0.000  0.000
Nd  0.500  0.000  0.500
Sm  0.001  0.754  0.247
Sm  0.246  0.247  0.492
Sm  0.492  0.246  0.247
Sm  0.754  0.753  0.508
Sm  0.753  0.999  0.246
Sm  0.754  0.247  0.001
Sm  0.246  0.753  0.999
Nd  0.000  0.000  0.500
Nd  0.500  0.500  0.500
Nd  0.000  0.500  0.500
Sm  0.508  0.754  0.753
Sm  0.753  0.508  0.754
Sm  0.247  0.001  0.754
Er  0.000  0.000  0.000
Nd  0.500  0.500  0.000
Nd  0.000  0.500  0.000
Sm  0.247  0.492  0.246

***

two | Here is a relaxed Nd7Sm12Er crystal from Alexandria. Energies are from PBE.

Density = 7.08 g/cm3
DOS(E_F) = 38.93 states/eV per cell
Total magnetization = 0.0 μB/f.u.

Unit cell a=8.891 b=8.891 c=8.891 alpha=86.84 beta=86.84 gamma=86.84
Sites, in units of the cell vectors:
Sm  0.252  0.727  0.854
Sm  0.865  0.505  0.384
Sm  0.616  0.135  0.495
Sm  0.748  0.273  0.146
Nd  0.848  0.604  0.922
Sm  0.384  0.865  0.505
Sm  0.273  0.146  0.748
Sm  0.146  0.748  0.273
Sm  0.505  0.384  0.865
Sm  0.854  0.252  0.727
Nd  0.078  0.152  0.396
Nd  0.922  0.848  0.604
Er  0.000  0.000  0.000
Nd  0.152  0.396  0.078
Nd  0.500  0.500  0.500
Sm  0.135  0.495  0.616
Nd  0.604  0.922  0.848
Sm  0.727  0.854  0.252
Sm  0.495  0.616  0.135
Nd  0.396  0.078  0.152

***

Quick one: most stable of them? two